# GGA-PBEsol Ba2ReSe, optimized geometry
data_Ba2ReSe
_cell_length_a 5.592
_cell_length_b 5.592
_cell_length_c 3.742
_cell_angle_alpha 90.00
_cell_angle_beta 90.00
_cell_angle_gamma 90.00
_symmetry_space_group_name_H-M 'P 1'
_symmetry_Int_Tables_number 1
loop_
_symmetry_equiv_pos_as_xyz
'x,y,z'
loop_
_atom_site_label
_atom_site_fract_x
_atom_site_fract_y
_atom_site_fract_z
_atom_site_occupancy
Ba1 0.000 0.500 0.000 1
Ba2 0.500 0.000 0.000 1
Re1 0.000 0.000 0.500 1
Se1 0.500 0.500 0.500 1
# - V: 117.0 Å³/cell
# - Energy relative to the elements, uncorrected: 0.24 eV per atom
# - M_tot: 2.792 μB per formula unit